CaSbPt3: optimized geometry, PBE-GGA.

a = 4.963 Å, b = 4.963 Å, c = 4.963 Å
α = 90.00°, β = 90.00°, γ = 90.00°
Space group Pm-3m (No. 221)
One atom of each set of equivalent atoms:
Ca 0.000 0.000 0.000 (multiplicity 1)
Sb 0.500 0.500 0.500 (multiplicity 1)
Pt 0.000 0.000 0.500 (multiplicity 3)

Summary:
relative energy among the computed polymorphs = 1643.3 meV/atom
total magnetic moment = 0.000 μB per atom
N(E_F) = 0.65 states/eV per atom
E_tot = -3.87 eV per atom
raw formation energy = 22.64 kcal/mol of atoms